No. 1
# YAuCl

A geometry-optimized YAuCl structure (PBE, Alexandria).

a b c (Å): 6.8057 6.8057 6.8057
angles (deg): 90.00 90.00 90.00
Closest atoms and distances in Å follow each position.
Space group F-43m (No. 216)
Unique sites:
1 Y 0.0000 0.0000 0.0000 x4  4 Cl 2.95, 4 Au 2.95
2 Au 0.2500 0.2500 0.2500 x4  4 Y 2.95
3 Cl 0.2500 0.2500 0.7500 x4  4 Y 2.95

Computed properties:
As for the energy above the most stable polymorph in this dataset: 175 meV per atom. Its uncorrected formation energy is -0.918 eV/atom. For the final energy, the calculation gives -57.4 eV/cell.



No. 2
# Ba2LiOs3O12

A geometry-optimized Ba2LiOs3O12 structure (PBE, Alexandria).

a b c (Å): 7.3439 7.3439 16.6224
angles (deg): 90.00 90.00 120.00
Closest atoms and distances in Å follow each position.
Space group R-3m (No. 166, hexagonal axes)
Unique sites:
1 Ba 0.0000 0.0000 0.1069 x6  6 O 2.68-2.92
2 Li 0.0000 0.0000 0.5000 x3  6 O 2.63
3 Os 0.0000 0.5000 0.0000 x9  6 O 1.81-1.98
4 O 0.0499 0.5250 0.8928 x18  1 Os 1.81
5 O 0.0601 0.5301 0.3170 x18  2 Os 1.98

Computed properties:
Its uncorrected formation energy is -1.489 eV/atom. For the final energy, the calculation gives -377.3 eV/cell.



No. 3
# LiTi2Al2

A geometry-optimized LiTi2Al2 structure (PBE, Alexandria).

a b c (Å): 8.0735 8.0735 2.7975
angles (deg): 90.00 90.00 90.00
Closest atoms and distances in Å follow each position.
Space group P4/mbm (No. 127)
Unique sites:
1 Li 0.0000 0.0000 0.0000 x2  2 Li 2.80
2 Ti 0.1163 0.3837 0.0000 x4  3 Ti 2.65-2.80, 6 Al 2.72-2.82
3 Al 0.1797 0.6797 0.5000 x4  6 Ti 2.72-2.82, 2 Al 2.80

Computed properties:
As for the energy above the most stable polymorph in this dataset: 16 meV per atom. For the final energy, the calculation gives -51.1 eV/cell.



- Which value of final energy does entry 1 give?
  -57.4 eV/cell



- What is the final energy in the first record?
  -57.4 eV/cell



Repeat the second record exactly.
# Ba2LiOs3O12

A geometry-optimized Ba2LiOs3O12 structure (PBE, Alexandria).

a b c (Å): 7.3439 7.3439 16.6224
angles (deg): 90.00 90.00 120.00
Closest atoms and distances in Å follow each position.
Space group R-3m (No. 166, hexagonal axes)
Unique sites:
1 Ba 0.0000 0.0000 0.1069 x6  6 O 2.68-2.92
2 Li 0.0000 0.0000 0.5000 x3  6 O 2.63
3 Os 0.0000 0.5000 0.0000 x9  6 O 1.81-1.98
4 O 0.0499 0.5250 0.8928 x18  1 Os 1.81
5 O 0.0601 0.5301 0.3170 x18  2 Os 1.98

Computed properties:
Its uncorrected formation energy is -1.489 eV/atom. For the final energy, the calculation gives -377.3 eV/cell.